KZrAg2 | GGA-PBE | optimized geometry

Cell lengths 6.0190, 6.0190, 6.0190 Å; angles 138.02, 138.02, 60.87 degrees
Fractional positions:
1 K 0.0000 0.0000 0.0000
2 Zr 0.2500 0.7500 0.5000
3 Ag 0.5000 0.5000 0.0000
4 Ag 0.7500 0.2500 0.5000

Energy of formation (meV/atom): 608
ρ (g/cm3): 5.96
Energy above the most stable polymorph in this dataset (eV/atom): 0.4863
Symmetry: I-4m2, No. 119

Dy8Tl2Pd | GGA-PBE | optimized geometry

Cell lengths 9.6796, 9.6796, 6.7654 Å; angles 99.91, 99.91, 30.39 degrees
Fractional positions:
1 Dy 0.0162 0.0162 0.2694
2 Dy 0.2068 0.2068 0.8175
3 Dy 0.3524 0.3524 0.5107
4 Dy 0.4097 0.4097 0.0332
5 Dy 0.5903 0.5903 0.9668
6 Dy 0.6476 0.6476 0.4893
7 Dy 0.7932 0.7932 0.1825
8 Dy 0.9838 0.9838 0.7306
9 Tl 0.1875 0.1875 0.2619
10 Tl 0.8125 0.8125 0.7381
11 Pd 0.5000 0.5000 0.5000

Energy of formation (meV/atom): -260
ρ (g/cm3): 9.55
Symmetry: C2/m, No. 12

Sm2ErS4 | GGA-PBE | optimized geometry

Cell lengths 6.8932, 6.8932, 13.2981 Å; angles 90.00, 90.00, 147.77 degrees
Fractional positions:
1 Sm 0.1293 0.8707 0.5715
2 Sm 0.1293 0.8707 0.9285
3 Sm 0.8707 0.1293 0.0715
4 Sm 0.8707 0.1293 0.4285
5 Er 0.3722 0.6278 0.7500
6 Er 0.6278 0.3722 0.2500
7 S 0.0190 0.9810 0.7500
8 S 0.2206 0.7794 0.1254
9 S 0.2206 0.7794 0.3746
10 S 0.5000 0.5000 0.0000
11 S 0.5000 0.5000 0.5000
12 S 0.7794 0.2206 0.6254
13 S 0.7794 0.2206 0.8746
14 S 0.9810 0.0190 0.2500

ρ (g/cm3): 5.88
Energy above the most stable polymorph in this dataset (eV/atom): 0.0200
E_form (uncorrected) (eV/atom): -2.013
Symmetry: Cmcm, No. 63

KLiHgO2 | GGA-PBE | optimized geometry

Cell lengths 6.5857, 6.5857, 5.4238 Å; angles 90.00, 90.00, 128.36 degrees
Fractional positions:
1 K 0.2500 0.7500 0.8368
2 K 0.7500 0.2500 0.1632
3 Li 0.2500 0.2500 0.0000
4 Li 0.7500 0.7500 0.0000
5 Hg 0.0000 0.0000 0.5000
6 Hg 0.5000 0.5000 0.5000
7 O 0.0927 0.9073 0.1855
8 O 0.4073 0.5927 0.1855
9 O 0.5927 0.4073 0.8145
10 O 0.9073 0.0927 0.8145

ρ (g/cm3): 5.02
E_form (uncorrected) (eV/atom): -1.081
Symmetry: Cmme, No. 67

MnBeCdAs2 | GGA-PBE | optimized geometry

Cell lengths 5.0859, 5.0859, 5.0452 Å; angles 90.00, 90.00, 90.00 degrees
Fractional positions:
1 Mn 0.0000 0.0000 0.0000
2 Be 0.5000 0.5000 0.0000
3 Cd 0.0000 0.0000 0.5000
4 As 0.0000 0.5000 0.5000
5 As 0.5000 0.0000 0.5000

Energy of formation (meV/atom): 1466
ρ (g/cm3): 4.15
Symmetry: P4/mmm, No. 123

YMgSi2 | GGA-PBE | optimized geometry

Cell lengths 4.8559, 4.8559, 4.8559 Å; angles 60.00, 60.00, 60.00 degrees
Fractional positions:
1 Y 0.0000 0.0000 0.0000
2 Mg 0.7500 0.7500 0.7500
3 Si 0.2500 0.2500 0.2500
4 Si 0.5000 0.5000 0.5000

ρ (g/cm3): 3.47
E_form (uncorrected) (eV/atom): 0.125
Symmetry: F-43m, No. 216

Tb4CeMg | GGA-PBE | optimized geometry

Cell lengths 3.5603, 3.5603, 14.3035 Å; angles 90.00, 90.00, 90.00 degrees
Fractional positions:
1 Tb 0.0000 0.0000 0.1530
2 Tb 0.0000 0.0000 0.8470
3 Tb 0.5000 0.5000 0.3280
4 Tb 0.5000 0.5000 0.6720
5 Ce 0.0000 0.0000 0.5000
6 Mg 0.5000 0.5000 0.0000

Energy of formation (meV/atom): 18
ρ (g/cm3): 7.33
Symmetry: P4/mmm, No. 123

Ac3Te12As5 | GGA-PBE | optimized geometry

Cell lengths 15.5957, 15.5957, 15.5957 Å; angles 109.47, 109.47, 109.47 degrees
Fractional positions:
1 Ac 0.1250 0.2500 0.3750
2 Ac 0.1250 0.3750 0.7500
3 Ac 0.2500 0.3750 0.1250
4 Ac 0.2500 0.8750 0.6250
5 Ac 0.3750 0.1250 0.2500
6 Ac 0.3750 0.7500 0.1250
7 Ac 0.6250 0.2500 0.8750
8 Ac 0.6250 0.8750 0.7500
9 Ac 0.7500 0.1250 0.3750
10 Ac 0.7500 0.6250 0.8750
11 Ac 0.8750 0.6250 0.2500
12 Ac 0.8750 0.7500 0.6250
13 Te 0.0342 0.2069 0.1230
14 Te 0.0342 0.3273 0.9112
15 Te 0.0839 0.7069 0.6727
16 Te 0.0839 0.8770 0.4112
17 Te 0.0888 0.6230 0.4161
18 Te 0.0888 0.9658 0.6727
19 Te 0.1230 0.0342 0.2069
20 Te 0.1230 0.5888 0.9161
21 Te 0.1727 0.2069 0.5839
22 Te 0.1727 0.4658 0.5888
23 Te 0.2069 0.1230 0.0342
24 Te 0.2069 0.5839 0.1727
25 Te 0.2931 0.3273 0.9161
26 Te 0.2931 0.4658 0.3770
27 Te 0.3273 0.9112 0.0342
28 Te 0.3273 0.9161 0.2931
29 Te 0.3770 0.2931 0.4658
30 Te 0.3770 0.5839 0.9112
31 Te 0.4112 0.0839 0.8770
32 Te 0.4112 0.8273 0.5342
33 Te 0.4161 0.0888 0.6230
34 Te 0.4161 0.8273 0.7931
35 Te 0.4658 0.3770 0.2931
36 Te 0.4658 0.5888 0.1727
37 Te 0.5342 0.4112 0.8273
38 Te 0.5342 0.6230 0.7069
39 Te 0.5839 0.1727 0.2069
40 Te 0.5839 0.9112 0.3770
41 Te 0.5888 0.1727 0.4658
42 Te 0.5888 0.9161 0.1230
43 Te 0.6230 0.4161 0.0888
44 Te 0.6230 0.7069 0.5342
45 Te 0.6727 0.0839 0.7069
46 Te 0.6727 0.0888 0.9658
47 Te 0.7069 0.5342 0.6230
48 Te 0.7069 0.6727 0.0839
49 Te 0.7931 0.4161 0.8273
50 Te 0.7931 0.8770 0.9658
51 Te 0.8273 0.5342 0.4112
52 Te 0.8273 0.7931 0.4161
53 Te 0.8770 0.4112 0.0839
54 Te 0.8770 0.9658 0.7931
55 Te 0.9112 0.0342 0.3273
56 Te 0.9112 0.3770 0.5839
57 Te 0.9161 0.1230 0.5888
58 Te 0.9161 0.2931 0.3273
59 Te 0.9658 0.6727 0.0888
60 Te 0.9658 0.7931 0.8770
61 As 0.0000 0.0000 0.0000
62 As 0.0000 0.0000 0.5000
63 As 0.0000 0.5000 0.0000
64 As 0.0000 0.5000 0.5000
65 As 0.1250 0.7500 0.8750
66 As 0.1250 0.8750 0.2500
67 As 0.2500 0.1250 0.8750
68 As 0.2500 0.6250 0.3750
69 As 0.3750 0.2500 0.6250
70 As 0.3750 0.6250 0.7500
71 As 0.5000 0.0000 0.0000
72 As 0.5000 0.0000 0.5000
73 As 0.5000 0.5000 0.0000
74 As 0.5000 0.5000 0.5000
75 As 0.6250 0.3750 0.2500
76 As 0.6250 0.7500 0.3750
77 As 0.7500 0.3750 0.6250
78 As 0.7500 0.8750 0.1250
79 As 0.8750 0.1250 0.7500
80 As 0.8750 0.2500 0.1250

ρ (g/cm3): 5.88
E_form (uncorrected) (eV/atom): -0.508
Symmetry: Ia-3d, No. 230

Li3Ac2GaGe4 | GGA-PBE | optimized geometry

Cell lengths 4.3799, 4.3799, 10.8921 Å; angles 90.00, 90.00, 90.00 degrees
Fractional positions:
1 Li 0.0000 0.0000 0.0000
2 Li 0.0000 0.5000 0.6239
3 Li 0.5000 0.0000 0.3761
4 Ac 0.0000 0.5000 0.2567
5 Ac 0.5000 0.0000 0.7433
6 Ga 0.5000 0.5000 0.0000
7 Ge 0.0000 0.0000 0.5000
8 Ge 0.0000 0.5000 0.8591
9 Ge 0.5000 0.0000 0.1409
10 Ge 0.5000 0.5000 0.5000

Energy of formation (meV/atom): -579
ρ (g/cm3): 6.64
Symmetry: P-4m2, No. 115

Mg2CdW | GGA-PBE | optimized geometry

Cell lengths 2.8589, 4.5146, 5.8762 Å; angles 90.00, 90.00, 90.00 degrees
Fractional positions:
1 Mg 0.0000 0.0000 0.0000
2 Mg 0.5000 0.5000 0.2708
3 Cd 0.5000 0.5000 0.7389
4 W 0.0000 0.0000 0.4932

Energy of formation (meV/atom): 458
ρ (g/cm3): 7.55
Symmetry: Pmm2, No. 25

RbSr | GGA-PBE | optimized geometry

Cell lengths 11.7901, 11.7901, 11.7901 Å; angles 109.47, 109.47, 109.47 degrees
Fractional positions:
1 Rb 0.0000 0.0000 0.5908
2 Rb 0.0000 0.5908 0.0000
3 Rb 0.4092 0.4092 0.4092
4 Rb 0.5908 0.0000 0.0000
5 Sr 0.0000 0.0000 0.2124
6 Sr 0.0000 0.2124 0.0000
7 Sr 0.2124 0.0000 0.0000
8 Sr 0.7876 0.7876 0.7876

Energy of formation (meV/atom): 498
ρ (g/cm3): 0.91
Symmetry: I-43m, No. 217

MgGePd3 | GGA-PBE | optimized geometry

Cell lengths 4.6357, 4.6357, 4.6357 Å; angles 90.00, 90.00, 90.00 degrees
Fractional positions:
1 Mg 0.0000 0.0000 0.0000
2 Ge 0.5000 0.5000 0.5000
3 Pd 0.0000 0.5000 0.5000
4 Pd 0.5000 0.0000 0.5000
5 Pd 0.5000 0.5000 0.0000

Energy of formation (meV/atom): -128
ρ (g/cm3): 6.94
Energy above the most stable polymorph in this dataset (eV/atom): 0.3399
Symmetry: Pm-3m, No. 221

| no. | DOS at the Fermi energy (states/eV/f.u.) |
| --- | --- |
| 1 | 3.79 |
| 2 | 10.58 |
| 3 | 1.88 |
| 4 | 0.00 |
| 5 | 4.31 |
| 6 | 2.25 |
| 7 | 9.79 |
| 8 | 1.90 |
| 9 | 1.37 |
| 10 | 3.17 |
| 11 | 2.66 |
| 12 | 1.56 |